[1]
Hf2Si3Ru: relaxed, PBE.

M_tot: 0.0 Bohr magnetons per cell
E: -94.63 eV per cell
Energy relative to the elements, uncorrected: -29.95 kJ per mole of atoms

Unit cell a=3.957 b=5.317 c=9.984 alpha=90.00 beta=90.00 gamma=90.00
Space group Immm (No. 71)
One atom of each set of equivalent atoms:
Hf1 0.000 0.000 0.178 (multiplicity 4)
Si1 0.000 0.500 0.140 (multiplicity 4)
Si2 0.000 0.500 0.500 (multiplicity 2)
Ru1 0.000 0.000 0.500 (multiplicity 2)

[2]
ScHgPd2: relaxed, PBE.

M_tot: 0.0 Bohr magnetons per cell
E: -34.72 eV per cell
Formation energy: -0.085 eV per atom

Unit cell a=2.989 b=4.984 c=10.626 alpha=90.00 beta=90.00 gamma=90.00
Space group Immm (No. 71)
One atom of each set of equivalent atoms:
Sc1 0.000 0.000 0.000 (multiplicity 2)
Hg1 0.000 0.000 0.500 (multiplicity 2)
Pd1 0.000 0.000 0.236 (multiplicity 4)

[3]
MnVSi2: relaxed, PBE.

M_tot: 8.7 Bohr magnetons per cell
E: -119.62 eV per cell
Energy relative to the elements, uncorrected: -18.61 kJ per mole of atoms

Unit cell a=5.794 b=5.794 c=5.794 alpha=90.00 beta=90.00 gamma=90.00
Space group Fm-3m (No. 225)
One atom of each set of equivalent atoms:
Mn1 0.000 0.000 0.000 (multiplicity 4)
V1 0.000 0.000 0.500 (multiplicity 4)
Si1 0.250 0.250 0.250 (multiplicity 8)

[4]
LiGe4Rh5: relaxed, PBE.

M_tot: 0.0 Bohr magnetons per cell
E: -121.59 eV per cell
Formation energy: -0.365 eV per atom

Unit cell a=7.323 b=7.965 c=5.601 alpha=90.00 beta=90.00 gamma=90.00
Space group Pmmn (No. 59, origin choice 2)
One atom of each set of equivalent atoms:
Li1 0.250 0.250 0.020 (multiplicity 2)
Ge1 0.072 0.250 0.543 (multiplicity 4)
Ge2 0.250 0.569 0.936 (multiplicity 4)
Rh1 0.040 0.007 0.257 (multiplicity 8)
Rh2 0.250 0.750 0.590 (multiplicity 2)

[5]
KFeIr2: relaxed, PBE.

M_tot: 6.7 Bohr magnetons per cell
E: -49.84 eV per cell
Formation energy: 0.590 eV per atom
Polymorph energy (0 for the lowest one): 150 meV/atom

Unit cell a=8.761 b=2.782 c=7.036 alpha=90.00 beta=98.61 gamma=90.00
Space group C2/m (No. 12)
One atom of each set of equivalent atoms:
K1 0.000 0.000 0.000 (multiplicity 2)
Fe1 0.000 0.500 0.500 (multiplicity 2)
Ir1 0.220 0.000 0.643 (multiplicity 4)

[6]
RbBiPt2W: relaxed, PBE.

M_tot: 3.7 Bohr magnetons per cell
E: -23.01 eV per cell
Formation energy: 1.374 eV per atom

Unit cell a=5.293 b=5.293 c=5.416 alpha=90.00 beta=90.00 gamma=90.00
Space group P4/mmm (No. 123)
One atom of each set of equivalent atoms:
Rb1 0.000 0.000 0.000 (multiplicity 1)
Bi1 0.500 0.500 0.500 (multiplicity 1)
Pt1 0.000 0.500 0.500 (multiplicity 2)
W1 0.500 0.500 0.000 (multiplicity 1)